Entry 1:
VASP calculation (PBE) on Nd11Tl4Cd9 after structural relaxation.

Calculated values
- N(E_F): 28.4 states/eV/f.u.
- E: -3.220 eV/atom
- Calculated volume: 28.953 Å³/atom
- Mass density: 8.2 g cm⁻³
- Total magnetization: 0.00 Bohr magnetons per cell
- DFT formation energy: -7.144 eV/f.u.

a b c (Å): 3.818 13.794 13.794
angles (deg): 106.98 90.00 90.00
Sites, in units of the cell vectors:
Nd1 0.000 0.593 0.937
Nd2 0.000 0.407 0.063
Nd3 0.000 0.937 0.593
Nd4 0.000 0.063 0.407
Nd5 0.000 0.642 0.358
Nd6 0.000 0.358 0.642
Nd7 0.000 0.820 0.180
Nd8 0.000 0.180 0.820
Nd9 0.000 0.000 0.000
Nd10 0.000 0.768 0.768
Nd11 0.000 0.232 0.232
Tl1 0.500 0.563 0.732
Tl2 0.500 0.437 0.268
Tl3 0.500 0.732 0.563
Tl4 0.500 0.268 0.437
Cd1 0.500 0.616 0.147
Cd2 0.500 0.384 0.853
Cd3 0.500 0.147 0.616
Cd4 0.500 0.853 0.384
Cd5 0.500 0.802 0.979
Cd6 0.500 0.198 0.021
Cd7 0.500 0.979 0.802
Cd8 0.500 0.021 0.198
Cd9 0.500 0.500 0.500


Entry 2:
VASP calculation (PBE) on Nd4TlCd3 after structural relaxation.

Calculated values
- N(E_F): 7.5 states/eV/f.u.
- Energy above the most stable polymorph in this dataset: 49 meV per atom
- E: -3.308 eV/atom
- Calculated volume: 29.286 Å³/atom
- Mass density: 7.9 g cm⁻³
- Total magnetization: 0.00 Bohr magnetons per cell
- DFT formation energy: -2.279 eV/f.u.

a b c (Å): 3.714 5.016 12.575
angles (deg): 90.00 90.00 90.00
Sites, in units of the cell vectors:
Nd1 0.500 0.500 0.344
Nd2 0.000 0.500 0.840
Nd3 0.000 0.000 0.158
Nd4 0.500 0.000 0.658
Tl1 0.500 0.500 0.075
Cd1 0.000 0.500 0.571
Cd2 0.000 0.000 0.429
Cd3 0.500 0.000 0.925